Run one
Tb3Tm7Sc2: relaxed, PBE-GGA.

Calculated values
DOS at the Fermi energy ... 19.4 states/eV/f.u.
Crystal system ... monoclinic

Structure (CIF):
```
data_Tb3Tm7Sc2
_chemical_formula_sum 'Tb3 Tm7 Sc2'
_cell_length_a 3.542
_cell_length_b 5.401
_cell_length_c 19.962
_cell_angle_alpha 90.00
_cell_angle_beta 95.17
_cell_angle_gamma 90.00
_space_group_name_H-M_alt 'P 1 2/m 1'
_space_group_IT_number 10
_space_group_name_Hall '-P 2y'
loop_
_atom_site_label
_atom_site_fract_x
_atom_site_fract_y
_atom_site_fract_z
_atom_site_occupancy
Tb1 0.000 0.000 0.000 1
Tb2 0.329 0.500 0.662 1
Tm1 0.090 0.500 0.176 1
Tm2 0.213 0.000 0.429 1
Tm3 0.430 0.000 0.863 1
Tm4 0.500 0.500 0.000 1
Sc1 0.141 0.000 0.274 1
```

---

Run two
Tb3Tm7Sc2: relaxed, PBE-GGA.

Calculated values
DOS at the Fermi energy ... 18.9 states/eV/f.u.
Crystal system ... orthorhombic

Structure (CIF):
```
data_Tb3Tm7Sc2
_chemical_formula_sum 'Tb6 Tm14 Sc4'
_cell_length_a 5.561
_cell_length_b 36.903
_cell_length_c 3.501
_cell_angle_alpha 90.00
_cell_angle_beta 90.00
_cell_angle_gamma 90.00
_space_group_name_H-M_alt 'C m m m'
_space_group_IT_number 65
_space_group_name_Hall '-C 2 2'
loop_
_atom_site_label
_atom_site_fract_x
_atom_site_fract_y
_atom_site_fract_z
_atom_site_occupancy
Tb1 0.000 0.000 0.000 1
Tb2 0.000 0.184 0.000 1
Tm1 0.000 0.094 0.500 1
Tm2 0.000 0.270 0.500 1
Tm3 0.000 0.427 0.000 1
Tm4 0.000 0.500 0.500 1
Sc1 0.000 0.353 0.500 1
```

---

Best to worst by energy: run two, run one.

---

Run one
TbTm7Sc2: relaxed, PBE-GGA.

Calculated values
DOS at the Fermi energy ... 15.4 states/eV/f.u.
Crystal system ... triclinic

Structure (CIF):
```
data_TbTm7Sc2
_chemical_formula_sum 'Tb1 Tm7 Sc2'
_cell_length_a 5.971
_cell_length_b 6.895
_cell_length_c 7.711
_cell_angle_alpha 77.18
_cell_angle_beta 75.07
_cell_angle_gamma 73.37
_space_group_name_H-M_alt 'P -1'
_space_group_IT_number 2
_space_group_name_Hall '-P 1'
loop_
_atom_site_label
_atom_site_fract_x
_atom_site_fract_y
_atom_site_fract_z
_atom_site_occupancy
Tb1 0.000 0.000 0.000 1
Tm1 0.000 0.500 0.000 1
Tm2 0.200 0.299 0.598 1
Tm3 0.399 0.099 0.204 1
Tm4 0.402 0.599 0.204 1
Sc1 0.197 0.802 0.599 1
```

---

Run two
TbTm7Sc2: relaxed, PBE-GGA.

Calculated values
DOS at the Fermi energy ... 14.7 states/eV/f.u.
Crystal system ... orthorhombic

Structure (CIF):
```
data_TbTm7Sc2
_chemical_formula_sum 'Tb2 Tm14 Sc4'
_cell_length_a 8.664
_cell_length_b 15.035
_cell_length_c 5.501
_cell_angle_alpha 90.00
_cell_angle_beta 90.00
_cell_angle_gamma 90.00
_space_group_name_H-M_alt 'C m m m'
_space_group_IT_number 65
_space_group_name_Hall '-C 2 2'
loop_
_atom_site_label
_atom_site_fract_x
_atom_site_fract_y
_atom_site_fract_z
_atom_site_occupancy
Tb1 0.000 0.000 0.000 1
Tm1 0.000 0.236 0.000 1
Tm2 0.000 0.500 0.500 1
Tm3 0.180 0.120 0.500 1
Sc1 0.000 0.295 0.500 1
```

---

Best to worst by energy: run one, run two.

---

Run one
Tb12Tm7Sc: relaxed, PBE-GGA.

Calculated values
DOS at the Fermi energy ... 39.3 states/eV/f.u.
Crystal system ... trigonal

Structure (CIF):
```
data_Tb12Tm7Sc
_chemical_formula_sum 'Tb36 Tm21 Sc3'
_cell_length_a 13.0944
_cell_length_b 13.0944
_cell_length_c 12.6226
_cell_angle_alpha 90.00
_cell_angle_beta 90.00
_cell_angle_gamma 120.00
_space_group_name_H-M_alt 'R -3 m'
_space_group_IT_number 166
_space_group_name_Hall '-R 3 2"'
loop_
_atom_site_label
_atom_site_fract_x
_atom_site_fract_y
_atom_site_fract_z
_atom_site_occupancy
Tb1 0.0000 0.2614 0.0000 1
Tb2 0.0890 0.1780 0.7673 1
Tm1 0.0000 0.0000 0.0000 1
Tm2 0.0470 0.5235 0.1179 1
Sc1 0.0000 0.0000 0.5000 1
```

---

Run two
Tb12Tm7Sc: relaxed, PBE-GGA.

Calculated values
DOS at the Fermi energy ... 28.4 states/eV/f.u.
Crystal system ... trigonal

Structure (CIF):
```
data_Tb12Tm7Sc
_chemical_formula_sum 'Tb36 Tm21 Sc3'
_cell_length_a 19.2442
_cell_length_b 19.2442
_cell_length_c 6.0527
_cell_angle_alpha 90.00
_cell_angle_beta 90.00
_cell_angle_gamma 120.00
_space_group_name_H-M_alt 'R -3'
_space_group_IT_number 148
_space_group_name_Hall '-R 3'
loop_
_atom_site_label
_atom_site_fract_x
_atom_site_fract_y
_atom_site_fract_z
_atom_site_occupancy
Tb1 0.9997 0.4144 0.9999 1
Tb2 0.0986 0.5489 0.4697 1
Tm1 0.0000 0.0000 0.0000 1
Tm2 0.0800 0.1607 0.3026 1
Sc1 0.0000 0.0000 0.5000 1
```

---

Best to worst by energy: run one, run two.

---

Run one
Tb2Tm2Sc5: relaxed, PBE-GGA.

Calculated values
DOS at the Fermi energy ... 16.8 states/eV/f.u.
Crystal system ... triclinic

Structure (CIF):
```
data_Tb2Tm2Sc5
_chemical_formula_sum 'Tb2 Tm2 Sc5'
_cell_length_a 3.366
_cell_length_b 8.229
_cell_length_c 9.128
_cell_angle_alpha 77.18
_cell_angle_beta 89.77
_cell_angle_gamma 89.52
_space_group_name_H-M_alt 'P -1'
_space_group_IT_number 2
_space_group_name_Hall '-P 1'
loop_
_atom_site_label
_atom_site_fract_x
_atom_site_fract_y
_atom_site_fract_z
_atom_site_occupancy
Tb1 0.247 0.324 0.290 1
Tm1 0.230 0.983 0.841 1
Sc1 0.222 0.678 0.383 1
Sc2 0.259 0.358 0.927 1
Sc3 0.500 0.000 0.500 1
```

---

Run two
Tb2Tm2Sc5: relaxed, PBE-GGA.

Calculated values
DOS at the Fermi energy ... 12.8 states/eV/f.u.
Crystal system ... orthorhombic

Structure (CIF):
```
data_Tb2Tm2Sc5
_chemical_formula_sum 'Tb8 Tm8 Sc20'
_cell_length_a 11.644
_cell_length_b 8.290
_cell_length_c 10.426
_cell_angle_alpha 90.00
_cell_angle_beta 90.00
_cell_angle_gamma 90.00
_space_group_name_H-M_alt 'I m a 2'
_space_group_IT_number 46
_space_group_name_Hall 'I 2 -2a'
loop_
_atom_site_label
_atom_site_fract_x
_atom_site_fract_y
_atom_site_fract_z
_atom_site_occupancy
Tb1 0.000 0.000 0.000 1
Tb2 0.250 0.105 0.122 1
Tm1 0.106 0.127 0.432 1
Sc1 0.100 0.693 0.745 1
Sc2 0.125 0.064 0.736 1
Sc3 0.250 0.711 0.005 1
```

---

Best to worst by energy: run one, run two.